Computed, not measured: a crystal of Sr2MgCu relaxed with PBEsol at the SCAN level of DFT.

The calculation puts the size of the total moment at 0.1 μB/f.u. Its density of states at the Fermi level is 3.33 states/eV/f.u. The formation energy comes out at 0.03 eV per atom. As for the calculated density: 3.7 g/cm3.

The structure belongs to space group P4/mmm (No. 123); the cell edges are 3.745, 3.745 and 8.469 Å and the angles 90.00°, 90.00° and 90.00°. The distinct sites, in fractional coordinates, are Sr at (0.000, 0.000, 0.213), Mg at (0.500, 0.500, 0.500) and Cu at (0.500, 0.500, 0.000).